Entry from Alexandria via LeMat-Bulk: a relaxed structure of Hf2GePt (PBE).

a b c (Å): 3.7800 3.7800 19.7678
angles (deg): 90.00 90.00 120.00
Space group R-3m (No. 166, hexagonal axes)
Asymmetric unit:
Hf (0.0000, 0.0000, 0.2499)
Ge (0.0000, 0.0000, 0.0000)
Pt (0.0000, 0.0000, 0.5000)

Results
As for the raw total energy: -99.116 eV/cell.